No. 1
# Pm3ErSb2, relaxed, DFT GGA-PBE
data_Pm3ErSb2
_space_group_name_H-M_alt 'P 1'
_space_group_IT_number 1
_space_group_name_Hall 'P 1'
_cell_length_a 8.982
_cell_length_b 8.982
_cell_length_c 8.982
_cell_angle_alpha 133.06
_cell_angle_beta 72.68
_cell_angle_gamma 127.94
loop_
_atom_site_label
_atom_site_fract_x
_atom_site_fract_y
_atom_site_fract_z
Pm1 0.041 0.750 0.291
Pm2 0.250 0.250 0.000
Pm3 0.459 0.750 0.709
Pm4 0.541 0.250 0.291
Pm5 0.750 0.750 0.000
Pm6 0.959 0.250 0.709
Er1 0.000 0.500 0.500
Er2 0.500 0.000 0.500
Sb1 0.145 0.181 0.325
Sb2 0.355 0.681 0.036
Sb3 0.645 0.319 0.964
Sb4 0.855 0.819 0.675
# ΔE_f (raw) (meV per atom): -607

=====

No. 2
# Hg3BiPt, relaxed, DFT GGA-PBE
data_Hg3BiPt
_space_group_name_H-M_alt 'P 1'
_space_group_IT_number 1
_space_group_name_Hall 'P 1'
_cell_length_a 5.242
_cell_length_b 5.242
_cell_length_c 5.242
_cell_angle_alpha 90.00
_cell_angle_beta 90.00
_cell_angle_gamma 90.00
loop_
_atom_site_label
_atom_site_fract_x
_atom_site_fract_y
_atom_site_fract_z
Hg1 0.000 0.000 0.500
Hg2 0.000 0.500 0.000
Hg3 0.500 0.000 0.000
Bi1 0.500 0.500 0.500
Pt1 0.000 0.000 0.000
# ΔE_f (meV per atom): 237

=====

Number 1: energy above the lowest structure with this stoichiometry 219.3 meV/atom, electronic total energy -5.1169 eV/atom, magnetization 0.01 μB/atom. Number 2: energy above the lowest structure with this stoichiometry 0.0 meV/atom, electronic total energy -1.9288 eV/atom, magnetization 0.00 μB/atom.